Record 1
The following is a DFT calculation (GGA-PBEsol) of a relaxed KNa3Ta crystal.

Lattice parameters (Å, degrees): 6.077 6.077 6.077 90.00 90.00 90.00
Element x y z (fractional)
K  0.000  0.000  0.000
Na  0.000  0.500  0.500
Na  0.500  0.000  0.500
Na  0.500  0.500  0.000
Ta  0.500  0.500  0.500

Output
The calculation puts the formation energy at 1.28 eV/atom. For the total energy, the calculation gives -2.30 eV/atom. The value obtained for the density of states at the Fermi level is 4.44 states/eV per cell.



Record 2
The following is a DFT calculation (GGA-PBEsol) of a relaxed Tb2Pt2O7 crystal.

Lattice parameters (Å, degrees): 7.192 7.192 7.192 60.00 60.00 60.00
Element x y z (fractional)
Tb  0.000  0.000  0.000
Tb  0.000  0.000  0.500
Tb  0.000  0.500  0.000
Tb  0.500  0.000  0.000
Pt  0.000  0.500  0.500
Pt  0.500  0.000  0.500
Pt  0.500  0.500  0.000
Pt  0.500  0.500  0.500
O  0.125  0.125  0.125
O  0.160  0.160  0.590
O  0.160  0.590  0.160
O  0.160  0.590  0.590
O  0.410  0.410  0.840
O  0.410  0.840  0.410
O  0.410  0.840  0.840
O  0.590  0.160  0.160
O  0.590  0.160  0.590
O  0.590  0.590  0.160
O  0.840  0.410  0.410
O  0.840  0.410  0.840
O  0.840  0.840  0.410
O  0.875  0.875  0.875

Output
For the total energy, the calculation gives -7.58 eV/atom.



Record 3
The following is a DFT calculation (GGA-PBEsol) of a relaxed ScNiOs2 crystal.

Lattice parameters (Å, degrees): 3.002 4.329 8.740 90.00 90.00 90.00
Element x y z (fractional)
Sc  0.000  0.000  0.000
Sc  0.500  0.500  0.500
Ni  0.000  0.500  0.754
Ni  0.500  0.000  0.254
Os  0.000  0.000  0.494
Os  0.000  0.500  0.237
Os  0.500  0.000  0.737
Os  0.500  0.500  0.994

Output
The calculation puts the formation energy at 0.06 eV/atom. The calculation puts the energy above the lowest structure with this stoichiometry at 0.2 kJ/mol of atoms. For the total energy, the calculation gives -9.24 eV/atom. The value obtained for the density of states at the Fermi level is 9.05 states/eV per cell.



Record 4
The following is a DFT calculation (GGA-PBEsol) of a relaxed MgCr2Bi2 crystal.

Lattice parameters (Å, degrees): 3.425 3.425 17.689 90.00 90.00 90.00
Element x y z (fractional)
Mg  0.000  0.000  0.000
Mg  0.500  0.500  0.500
Cr  0.000  0.500  0.250
Cr  0.000  0.500  0.750
Cr  0.500  0.000  0.250
Cr  0.500  0.000  0.750
Bi  0.000  0.000  0.375
Bi  0.000  0.000  0.625
Bi  0.500  0.500  0.125
Bi  0.500  0.500  0.875

Output
The calculation puts the formation energy at 0.42 eV/atom. For the total energy, the calculation gives -5.73 eV/atom. The value obtained for the density of states at the Fermi level is 7.79 states/eV per cell.



Record 5
The following is a DFT calculation (GGA-PBEsol) of a relaxed ZrHRu3 crystal.

Lattice parameters (Å, degrees): 4.736 4.736 4.736 90.00 90.00 90.00
Element x y z (fractional)
Zr  0.000  0.000  0.000
H  0.500  0.500  0.500
Ru  0.000  0.000  0.500
Ru  0.000  0.500  0.000
Ru  0.500  0.000  0.000

Output
For the total energy, the calculation gives -6.09 eV/atom. The value obtained for the density of states at the Fermi level is 4.29 states/eV per cell.



Record 6
The following is a DFT calculation (GGA-PBEsol) of a relaxed MoP2Ru crystal.

Lattice parameters (Å, degrees): 3.087 3.292 10.769 90.00 90.00 90.00
Element x y z (fractional)
Mo  0.000  0.000  0.000
Mo  0.500  0.500  0.500
P  0.000  0.000  0.411
P  0.000  0.500  0.671
P  0.500  0.000  0.171
P  0.500  0.500  0.911
Ru  0.000  0.500  0.251
Ru  0.500  0.000  0.751

Output
The calculation puts the formation energy at -0.55 eV/atom. For the total energy, the calculation gives -8.93 eV/atom. The value obtained for the density of states at the Fermi level is 4.54 states/eV per cell.



Record 7
The following is a DFT calculation (GGA-PBEsol) of a relaxed K2RePb crystal.

Lattice parameters (Å, degrees): 4.141 4.196 11.429 90.00 90.00 90.00
Element x y z (fractional)
K  0.000  0.000  0.249
K  0.000  0.000  0.751
K  0.500  0.500  0.251
K  0.500  0.500  0.749
Re  0.000  0.500  0.500
Re  0.500  0.000  0.000
Pb  0.000  0.500  0.000
Pb  0.500  0.000  0.500

Output
The calculation puts the formation energy at 1.19 eV/atom. For the total energy, the calculation gives -3.71 eV/atom. The value obtained for the density of states at the Fermi level is 7.75 states/eV per cell.



Record 8
The following is a DFT calculation (GGA-PBEsol) of a relaxed Mo2IrRh crystal.

Lattice parameters (Å, degrees): 6.188 6.188 6.188 90.00 90.00 90.00
Element x y z (fractional)
Mo  0.250  0.250  0.250
Mo  0.250  0.250  0.750
Mo  0.250  0.750  0.250
Mo  0.250  0.750  0.750
Mo  0.750  0.250  0.250
Mo  0.750  0.250  0.750
Mo  0.750  0.750  0.250
Mo  0.750  0.750  0.750
Ir  0.000  0.000  0.000
Ir  0.000  0.500  0.500
Ir  0.500  0.000  0.500
Ir  0.500  0.500  0.000
Rh  0.000  0.000  0.500
Rh  0.000  0.500  0.000
Rh  0.500  0.000  0.000
Rh  0.500  0.500  0.500

Output
The calculation puts the formation energy at 0.30 eV/atom. The calculation puts the energy above the lowest structure with this stoichiometry at 57.0 kJ/mol of atoms. For the total energy, the calculation gives -10.07 eV/atom. The value obtained for the density of states at the Fermi level is 31.41 states/eV per cell.



Record 9
The following is a DFT calculation (GGA-PBEsol) of a relaxed KPrSiSe4 crystal.

Lattice parameters (Å, degrees): 6.710 6.915 8.986 90.00 108.10 90.00
Element x y z (fractional)
K  0.237  0.000  0.435
K  0.763  0.500  0.565
Pr  0.272  0.008  0.949
Pr  0.728  0.508  0.051
Si  0.285  0.478  0.183
Si  0.715  0.978  0.817
Se  0.088  0.477  0.345
Se  0.091  0.432  0.928
Se  0.469  0.738  0.766
Se  0.489  0.750  0.220
Se  0.511  0.250  0.780
Se  0.531  0.238  0.234
Se  0.909  0.932  0.072
Se  0.912  0.977  0.655

Output
For the total energy, the calculation gives -5.16 eV/atom. The value obtained for the density of states at the Fermi level is 0.00 states/eV per cell.



Record 10
The following is a DFT calculation (GGA-PBEsol) of a relaxed PSIO2 crystal.

Lattice parameters (Å, degrees): 3.596 3.596 5.799 90.00 90.00 90.00
Element x y z (fractional)
P  0.000  0.000  0.000
S  0.500  0.500  0.500
I  0.000  0.000  0.500
O  0.000  0.500  0.000
O  0.500  0.000  0.000

Output
For the total energy, the calculation gives -4.67 eV/atom. The value obtained for the density of states at the Fermi level is 1.58 states/eV per cell.



Record 11
The following is a DFT calculation (GGA-PBEsol) of a relaxed DySi2Au2 crystal.

Lattice parameters (Å, degrees): 4.203 4.203 10.129 90.00 90.00 90.00
Element x y z (fractional)
Dy  0.000  0.000  0.000
Dy  0.500  0.500  0.500
Si  0.000  0.000  0.387
Si  0.000  0.000  0.613
Si  0.500  0.500  0.113
Si  0.500  0.500  0.887
Au  0.000  0.500  0.250
Au  0.000  0.500  0.750
Au  0.500  0.000  0.250
Au  0.500  0.000  0.750

Output
For the total energy, the calculation gives -5.50 eV/atom. The value obtained for the density of states at the Fermi level is 2.63 states/eV per cell.



Record 12
The following is a DFT calculation (GGA-PBEsol) of a relaxed LiCu2C2O6 crystal.

Lattice parameters (Å, degrees): 4.355 4.814 6.528 88.40 77.12 63.63
Element x y z (fractional)
Li  0.000  0.000  0.000
Cu  0.074  0.894  0.549
Cu  0.325  0.215  0.398
C  0.704  0.610  0.225
C  0.708  0.488  0.736
O  0.428  0.588  0.344
O  0.446  0.718  0.838
O  0.695  0.884  0.221
O  0.750  0.203  0.756
O  0.957  0.526  0.597
O  0.963  0.373  0.126

Output
The calculation puts the energy above the lowest structure with this stoichiometry at 0.0 kJ/mol of atoms. For the total energy, the calculation gives -6.79 eV/atom. The value obtained for the density of states at the Fermi level is 1.79 states/eV per cell.